Record 1
4
Lattice="2.258 0.000 8.357 -1.129 1.955 8.357 -1.129 -1.955 8.357" Properties=species:S:1:pos:R:3 comment="LiTlCl2 (PBE, relaxed)" energy_ev_per_atom=-3.12 polymorph_energy_ev_per_atom=0.267 magnetic_moment_mub_per_atom=0.000 pbc="T T T"
Li 0.000 0.000 12.535
Cl 0.000 0.000 22.248
Tl 0.000 0.000 0.000
Cl 0.000 0.000 2.822

Record 2
4
Lattice="3.341 0.006 0.000 -0.109 3.339 0.000 0.000 0.000 8.239" Properties=species:S:1:pos:R:3 comment="Li2TlCl (PBE, relaxed)" energy_ev_per_atom=-2.83 magnetic_moment_mub_per_atom=0.000 pbc="T T T"
Tl 0.000 0.000 3.959
Li 1.616 1.673 1.864
Cl 1.616 1.673 7.755
Li 0.000 0.000 7.020

Record 3
16
Lattice="6.389 0.000 0.000 0.000 6.406 0.000 0.000 0.000 12.351" Properties=species:S:1:pos:R:3 comment="LiTl3Cl4 (PBE, relaxed)" energy_ev_per_atom=-3.23 magnetic_moment_mub_per_atom=0.000 pbc="T T T"
Tl 0.417 4.797 3.090
Tl 3.612 1.609 3.086
Tl 3.612 1.609 9.265
Cl 0.786 4.992 6.175
Tl 3.599 4.740 0.000
Cl 0.450 1.608 2.497
Cl 3.645 4.798 3.678
Cl 3.581 1.255 6.175
Li 6.370 1.118 0.000
Cl 0.386 5.152 0.000
Cl 3.645 4.798 8.673
Cl 3.981 1.414 0.000
Cl 0.450 1.608 9.854
Tl 0.404 1.667 6.175
Tl 0.417 4.797 9.261
Li 3.175 5.288 6.175

Record 4
6
Lattice="-3.957 -3.871 -3.323 -5.336 -2.327 2.793 -5.805 2.136 -1.848" Properties=species:S:1:pos:R:3 comment="LiTl4Cl (PBE, relaxed)" energy_ev_per_atom=-2.29 magnetic_moment_mub_per_atom=0.000 pbc="T T T"
Tl -8.329 -2.686 0.503
Li 0.000 0.000 0.000
Tl -7.640 -3.458 -2.552
Tl -8.564 -0.456 -1.815
Tl -5.663 -1.524 -0.892
Cl -11.323 -3.047 -1.784

Record 5
5
Lattice="-2.120 1.609 -4.665 -0.136 -5.094 -1.695 -4.933 -0.551 2.052" Properties=species:S:1:pos:R:3 comment="Li3TlCl (PBE, relaxed)" energy_ev_per_atom=-2.06 polymorph_energy_ev_per_atom=0.582 magnetic_moment_mub_per_atom=0.598 pbc="T T T"
Li -0.068 -2.547 -0.848
Tl 0.000 0.000 0.000
Li -1.060 0.804 -2.332
Cl -3.594 -2.018 -2.154
Li -2.466 -0.276 1.026

Record 6
4
Lattice="0.519 7.617 3.212 1.226 4.528 6.826 4.821 5.557 3.806" Properties=species:S:1:pos:R:3 comment="LiTlCl2 (PBE, relaxed)" energy_ev_per_atom=-3.26 polymorph_energy_ev_per_atom=0.132 magnetic_moment_mub_per_atom=0.000 pbc="T T T"
Cl 5.955 16.052 12.554
Li 0.000 0.000 0.000
Cl 0.612 1.650 1.290
Tl 3.283 8.851 6.922

Record 7
4
Lattice="0.000 3.574 3.574 3.574 0.000 3.574 3.574 3.574 0.000" Properties=species:S:1:pos:R:3 comment="Li2TlCl (PBE, relaxed)" energy_ev_per_atom=-2.41 magnetic_moment_mub_per_atom=0.000 pbc="T T T"
Li 1.787 1.787 1.787
Tl 3.574 3.574 3.574
Cl 0.000 0.000 0.000
Li 5.361 5.361 5.361

Record 8
8
Lattice="7.153 0.000 0.000 0.000 7.153 0.000 3.576 3.576 4.279" Properties=species:S:1:pos:R:3 comment="LiTlCl2 (PBE, relaxed)" energy_ev_per_atom=-3.38 polymorph_energy_ev_per_atom=0.013 magnetic_moment_mub_per_atom=0.000 pbc="T T T"
Tl 7.153 3.576 2.139
Li 3.576 3.576 0.000
Cl 2.406 5.364 1.070
Cl 5.364 5.982 3.209
Cl 8.941 8.323 3.209
Li 3.576 7.153 2.139
Cl 4.747 1.788 1.070
Tl 0.000 0.000 0.000

Record 9
4
Lattice="3.481 0.019 0.001 1.720 3.027 0.001 1.709 1.001 7.873" Properties=species:S:1:pos:R:3 comment="Li2TlCl (PBE, relaxed)" energy_ev_per_atom=-2.91 magnetic_moment_mub_per_atom=0.000 pbc="T T T"
Tl 1.728 1.012 1.969
Li 1.718 1.006 7.406
Li 3.447 2.018 4.404
Cl 5.183 3.035 5.906

Record 10
4
Lattice="5.193 0.000 0.000 2.596 4.497 0.000 2.596 1.499 4.240" Properties=species:S:1:pos:R:3 comment="LiTlCl2 (PBE, relaxed)" energy_ev_per_atom=-2.79 polymorph_energy_ev_per_atom=0.603 magnetic_moment_mub_per_atom=0.000 pbc="T T T"
Cl 0.000 0.000 0.000
Tl 7.789 4.497 3.180
Cl 2.596 1.499 1.060
Li 5.193 2.998 2.120

Record 11
5
Lattice="-3.957 2.963 -0.494 -1.455 -2.605 -3.972 -2.628 -3.019 2.943" Properties=species:S:1:pos:R:3 comment="LiTlCl3 (PBE, relaxed)" energy_ev_per_atom=-2.90 polymorph_energy_ev_per_atom=0.000 magnetic_moment_mub_per_atom=0.200 pbc="T T T"
Cl -1.979 1.482 -0.247
Cl -1.314 -1.509 1.472
Tl -4.020 -1.331 -0.761
Li 0.000 0.000 0.000
Cl -0.728 -1.303 -1.986

Record 12
5
Lattice="-2.675 4.625 -1.301 -1.636 0.523 5.223 4.517 2.928 1.121" Properties=species:S:1:pos:R:3 comment="LiTlCl3 (PBE, relaxed)" energy_ev_per_atom=-2.81 polymorph_energy_ev_per_atom=0.094 magnetic_moment_mub_per_atom=0.000 pbc="T T T"
Li 0.103 4.038 2.522
Cl 2.258 1.464 0.561
Tl 0.000 0.000 0.000
Cl -1.337 2.312 -0.650
Cl -0.818 0.262 2.612

Listing energy relative to the elements, uncorrected for the structures above in their given order: -108.85, -79.27, -113.50, -7.96, -6.53, -121.93, -38.30, -133.37, -86.44, -76.47, -90.78, -81.74 kJ per mole of atoms.